! PBE with a Hubbard U Ba3NaMn2O6, optimized geometry; values from VASP
! Total magnetic moment (Bohr magnetons per cell): 8.99
! Density of states at the Fermi level (states/eV/f.u.): 6.88
! E (eV per atom): -6.10
&SYSTEM
  ibrav = 0, nat = 12, ntyp = 4
/
ATOMIC_SPECIES
Ba 137.33 Ba.upf
Na 22.99 Na.upf
Mn 54.94 Mn.upf
O 16.00 O.upf
ATOMIC_POSITIONS angstrom
Ba 0.000 0.000 0.000
Ba 0.000 3.570 4.352
Ba 3.092 1.785 2.550
Na 0.000 0.000 3.451
Mn 0.000 3.570 1.232
Mn 3.092 1.785 5.670
O 0.000 1.846 1.981
O -1.494 4.433 1.981
O 1.598 0.923 4.921
O 1.494 4.433 1.981
O 4.585 0.923 4.921
O 3.092 3.510 4.921
CELL_PARAMETERS angstrom
6.184 0.000 0.000
-3.092 5.355 0.000
0.000 0.000 6.902